The following is a DFT calculation (PBE-GGA) of a geometry-optimized ScSeCl2 structure.

Output
As for the uncorrected energy: -16.62 eV per cell. The relative energy among the computed polymorphs is 0.7123 eV per atom. The value obtained for the density of states at the Fermi level is 1.050 states/eV per atom.

a = 4.8492 Å, b = 4.8492 Å, c = 4.8492 Å
α = 60.00°, β = 60.00°, γ = 60.00°
Last column: nearest neighbours and their distance in Å.
Positions (direct):
Sc 0.5000 0.5000 0.5000  4 Cl 2.97, 4 Se 2.97
Cl 0.2500 0.2500 0.2500  4 Sc 2.97, 4 Cl 2.97
Se 0.7500 0.7500 0.7500  4 Sc 2.97, 4 Cl 2.97
Cl 0.0000 0.0000 0.0000  4 Se 2.97, 4 Cl 2.97

---

The following is a DFT calculation (PBE-GGA) of a geometry-optimized Sc2SeCl structure.

Output
As for the uncorrected energy: -19.54 eV per cell. The relative energy among the computed polymorphs is 0.9755 eV per atom. The value obtained for the density of states at the Fermi level is 0.529 states/eV per atom.

a = 4.9554 Å, b = 4.9554 Å, c = 4.9554 Å
α = 60.00°, β = 60.00°, γ = 60.00°
Last column: nearest neighbours and their distance in Å.
Positions (direct):
Sc 0.0000 0.0000 0.0000  4 Se 3.03, 4 Sc 3.03
Cl 0.5000 0.5000 0.5000  4 Sc 3.03, 4 Se 3.03
Se 0.7500 0.7500 0.7500  4 Cl 3.03, 4 Sc 3.03
Sc 0.2500 0.2500 0.2500  4 Sc 3.03, 4 Cl 3.03

---

The following is a DFT calculation (PBE-GGA) of a geometry-optimized Sc2Se2Cl structure.

Output
As for the uncorrected energy: -30.37 eV per cell. The relative energy among the computed polymorphs is 0.0000 eV per atom. The value obtained for the density of states at the Fermi level is 0.339 states/eV per atom.

a = 3.8520 Å, b = 3.8520 Å, c = 8.2583 Å
α = 103.49°, β = 103.49°, γ = 90.00°
Last column: nearest neighbours and their distance in Å.
Positions (direct):
Se 0.6632 0.6632 0.3264  5 Sc 2.72-2.75
Sc 0.8399 0.8399 0.6797  1 Cl 2.50, 5 Se 2.72-2.75
Sc 0.1601 0.1601 0.3203  1 Cl 2.50, 5 Se 2.72-2.75
Cl 0.0000 0.0000 0.0000  2 Sc 2.50
Se 0.3368 0.3368 0.6736  5 Sc 2.72-2.75

---

The following is a DFT calculation (PBE-GGA) of a geometry-optimized ScSeCl2 structure.

Output
As for the uncorrected energy: -19.47 eV per cell. The relative energy among the computed polymorphs is 0.0000 eV per atom. The value obtained for the density of states at the Fermi level is 0.374 states/eV per atom.

a = 6.9763 Å, b = 6.9763 Å, c = 6.9713 Å
α = 63.35°, β = 63.35°, γ = 26.14°
Last column: nearest neighbours and their distance in Å.
Positions (direct):
Sc 0.5078 0.5078 0.3595  4 Cl 2.47
Cl 0.9989 0.9989 0.0953  2 Sc 2.47
Se 0.8475 0.8475 0.6782  2 Sc 2.78
Cl 0.1459 0.1459 0.3670  2 Sc 2.47

---

no.,ΔE_f (raw) (eV/f.u.)
1,-3.1
2,-1.5
3,-8.9
4,-6.0